12
Lattice="4.6244 -3.9630 0.0000 4.6244 3.9630 0.0000 0.0000 0.0000 5.7960" Properties=species:S:1:pos:R:3 comment="TbGe3Os2 GGA-PBE optimized geometry" de_polymorph_mev_per_atom=149 space_group=Cmcm total_energy_ev_per_cell=-83.73 rho_g_cm3=11.839 vol_a3_per_fu=106.2 m_tot_mub_per_fu=0.000 pbc="T T T"
Tb 4.6244 2.9403 4.3470
Tb 4.6244 -2.9403 1.4490
Ge 3.1679 2.2122 1.4490
Ge 6.0809 2.2122 1.4490
Ge 4.6244 0.1355 4.3470
Ge 4.6244 -0.1355 1.4490
Ge 3.1679 -2.2122 4.3470
Ge 6.0809 -2.2122 4.3470
Os 2.6072 0.0000 0.0000
Os 2.6072 0.0000 2.8980
Os 6.6415 0.0000 0.0000
Os 6.6415 0.0000 2.8980

=====

28
Lattice="17.0587 0.0000 0.0000 0.0000 4.2088 0.0000 0.0000 0.0000 6.8053" Properties=species:S:1:pos:R:3 comment="TbGe4Os2 GGA-PBE optimized geometry" space_group=Pnma total_energy_ev_per_cell=-190.94 rho_g_cm3=11.283 vol_a3_per_fu=122.1 m_tot_mub_per_fu=0.000 pbc="T T T"
Tb 2.4486 1.0522 0.2823
Tb 6.0807 3.1566 3.6850
Tb 10.9780 1.0522 3.1203
Tb 14.6101 3.1566 6.5230
Ge 0.4990 3.1566 0.9206
Ge 1.0343 1.0522 3.5029
Ge 3.2487 3.1566 2.1492
Ge 3.2489 3.1566 5.0976
Ge 5.2804 1.0522 1.6949
Ge 5.2807 1.0522 5.5519
Ge 7.4951 3.1566 0.1003
Ge 8.0304 1.0522 4.3233
Ge 9.0283 3.1566 2.4820
Ge 9.5636 1.0522 6.7050
Ge 11.7781 3.1566 1.2534
Ge 11.7783 3.1566 5.1104
Ge 13.8098 1.0522 1.7077
Ge 13.8101 1.0522 4.6561
Ge 16.0245 3.1566 3.3023
Ge 16.5598 1.0522 5.8846
Os 0.6844 3.1566 5.1609
Os 3.5404 1.0522 3.5980
Os 4.9890 3.1566 0.1953
Os 7.8450 1.0522 1.7583
Os 9.2137 3.1566 5.0470
Os 12.0697 1.0522 6.6100
Os 13.5184 3.1566 3.2073
Os 16.3744 1.0522 1.6443

=====

13
Lattice="4.0500 0.0000 0.0000 0.0000 4.2086 0.0000 0.0000 0.0000 16.0725" Properties=species:S:1:pos:R:3 comment="Tb4Ge8Os GGA-PBE optimized geometry" space_group=Pmm2 total_energy_ev_per_cell=-73.81 rho_g_cm3=8.529 vol_a3_per_fu=274.0 m_tot_mub_per_fu=0.000 pbc="T T T"
Tb 0.0000 0.0000 0.0000
Tb 0.0000 2.1043 7.8252
Tb 2.0250 0.0000 12.7201
Tb 2.0250 2.1043 4.5906
Ge 0.0000 0.0000 5.3297
Ge 0.0000 0.0000 10.0188
Ge 0.0000 2.1043 2.2499
Ge 0.0000 2.1043 13.7516
Ge 2.0250 0.0000 2.3385
Ge 2.0250 0.0000 7.0643
Ge 2.0250 2.1043 9.9615
Ge 2.0250 2.1043 15.4193
Os 0.0000 2.1043 11.3159

=====

10
Lattice="6.2009 0.0000 0.0000 0.0000 5.7024 0.0000 0.0000 0.0000 5.7151" Properties=species:S:1:pos:R:3 comment="TbGe3Os GGA-PBE optimized geometry" space_group=Pmn2_1 total_energy_ev_per_cell=-62.75 rho_g_cm3=9.319 vol_a3_per_fu=101.0 m_tot_mub_per_fu=0.000 pbc="T T T"
Tb 0.0000 0.7917 0.0000
Tb 3.1005 4.9107 2.8576
Ge 0.0000 5.2202 3.1319
Ge 1.4510 1.8629 2.6118
Ge 1.6495 3.8395 5.4693
Ge 3.1005 0.4822 0.2744
Ge 4.5514 3.8395 5.4693
Ge 4.7500 1.8629 2.6118
Os 0.0000 3.5095 1.4963
Os 3.1005 2.1930 4.3539

=====

16
Lattice="2.1455 -5.4558 0.0000 2.1455 5.4558 0.0000 0.0000 0.0000 13.9574" Properties=species:S:1:pos:R:3 comment="Tb3Ge3Os2 GGA-PBE optimized geometry" space_group=Cmcm total_energy_ev_per_cell=-110.63 rho_g_cm3=10.928 vol_a3_per_fu=163.4 m_tot_mub_per_fu=0.000 pbc="T T T"
Tb 2.1455 4.6163 8.5691
Tb 2.1455 4.6163 12.3671
Tb 2.1455 1.6008 10.4681
Tb 2.1455 -1.6008 3.4894
Tb 2.1455 -4.6163 1.5903
Tb 2.1455 -4.6163 5.3884
Ge 2.1455 1.8184 3.4894
Ge 2.1455 1.2717 7.5374
Ge 2.1455 1.2717 13.3988
Ge 2.1455 -1.2717 0.5586
Ge 2.1455 -1.2717 6.4201
Ge 2.1455 -1.8184 10.4681
Os 2.1455 3.1245 1.1668
Os 2.1455 3.1245 5.8119
Os 2.1455 -3.1245 8.1455
Os 2.1455 -3.1245 12.7907

=====

10
Lattice="4.4613 0.0000 0.0000 0.0016 4.9357 0.0000 2.2143 0.0228 9.0414" Properties=species:S:1:pos:R:3 comment="TbGe3Os GGA-PBE optimized geometry" space_group=P-1 total_energy_ev_per_cell=-61.29 rho_g_cm3=9.460 vol_a3_per_fu=99.5 m_tot_mub_per_fu=0.000 pbc="T T T"
Tb 1.1040 1.2814 3.1103
Tb 5.5732 3.6771 5.9312
Ge 1.1228 3.8376 1.2290
Ge 3.3432 2.5498 7.6786
Ge 3.3378 1.0489 5.4437
Ge 3.3394 3.9096 3.5977
Ge 3.3340 2.4087 1.3628
Ge 5.5544 1.1209 7.8124
Os 3.3215 4.9521 7.9500
Os 3.3557 0.0064 1.0914

=====

3
Lattice="4.3660 0.0000 0.0000 -2.1830 3.7811 0.0000 0.0000 0.0000 3.5805" Properties=species:S:1:pos:R:3 comment="TbGeOs GGA-PBE optimized geometry" space_group=P-6m2 total_energy_ev_per_cell=-21.59 rho_g_cm3=11.850 vol_a3_per_fu=59.1 m_tot_mub_per_fu=0.000 pbc="T T T"
Tb 0.0000 0.0000 0.0000
Ge 0.0000 2.5207 1.7902
Os 2.1830 1.2604 1.7902

=====

6
Lattice="-2.1792 2.8285 5.1904 2.1792 -2.8285 5.1904 2.1792 2.8285 -5.1904" Properties=species:S:1:pos:R:3 comment="Tb2Ge3Os GGA-PBE optimized geometry" de_polymorph_mev_per_atom=295 space_group=Immm total_energy_ev_per_cell=-35.93 rho_g_cm3=9.420 vol_a3_per_fu=128.0 m_tot_mub_per_fu=0.280 pbc="T T T"
Tb 0.0000 0.0000 1.9120
Tb 0.0000 0.0000 8.4688
Ge 2.1792 0.0000 0.0000
Ge 2.1792 0.0000 3.8594
Ge 0.0000 2.8285 1.3309
Os 0.0000 0.0000 5.1904

=====

9
Lattice="5.3895 -2.1859 0.0000 5.3895 2.1859 0.0000 -2.7545 0.0000 7.7103" Properties=species:S:1:pos:R:3 comment="Tb3Ge4Os2 GGA-PBE optimized geometry" space_group=C2/m total_energy_ev_per_cell=-60.51 rho_g_cm3=10.492 vol_a3_per_fu=181.7 m_tot_mub_per_fu=0.000 pbc="T T T"
Tb 0.0000 0.0000 0.0000
Tb 3.2517 0.0000 2.3194
Tb 4.7728 0.0000 5.3909
Ge -0.1133 0.0000 3.1167
Ge 0.5601 0.0000 7.0985
Ge 7.4645 0.0000 0.6118
Ge 8.1378 0.0000 4.5936
Os 1.6749 0.0000 4.9282
Os 6.3497 0.0000 2.7820

=====

24
Lattice="11.8344 0.0000 0.0000 0.0000 4.2182 0.0000 0.0000 0.0000 11.2685" Properties=species:S:1:pos:R:3 comment="Tb3Ge2Os GGA-PBE optimized geometry" space_group=Pnma total_energy_ev_per_cell=-152.89 rho_g_cm3=9.591 vol_a3_per_fu=140.6 m_tot_mub_per_fu=0.000 pbc="T T T"
Tb 0.6545 1.0546 1.4278
Tb 1.4259 3.1637 6.2553
Tb 2.6674 1.0546 8.9640
Tb 3.2498 3.1637 3.3297
Tb 4.4913 1.0546 0.6210
Tb 5.2626 3.1637 7.0620
Tb 6.5717 1.0546 4.2065
Tb 7.3430 3.1637 10.6475
Tb 8.5845 1.0546 7.9388
Tb 9.1670 3.1637 2.3045
Tb 10.4085 1.0546 5.0132
Tb 11.1798 3.1637 9.8407
Ge 0.1356 3.1637 3.4927
Ge 2.2511 3.1637 11.2447
Ge 3.6660 1.0546 5.6104
Ge 5.7816 1.0546 9.1269
Ge 6.0528 3.1637 2.1415
Ge 8.1683 3.1637 5.6581
Ge 9.5832 1.0546 0.0238
Ge 11.6988 1.0546 7.7758
Os 1.5271 1.0546 4.1780
Os 4.3901 3.1637 9.8123
Os 7.4443 1.0546 1.4562
Os 10.3072 3.1637 7.0905

=====

9
Lattice="7.1494 0.0000 0.0000 -3.5747 6.1916 0.0000 0.0000 0.0000 3.2431" Properties=species:S:1:pos:R:3 comment="Tc2Ge6Os GGA-PBE optimized geometry" de_polymorph_mev_per_atom=0 space_group=P-3 total_energy_ev_per_cell=-58.85 rho_g_cm3=9.509 vol_a3_per_fu=143.6 m_tot_mub_per_fu=0.000 pbc="T T T"
Tc 0.0000 4.1277 0.7269
Tc 3.5747 2.0639 2.5162
Ge -0.9081 2.3033 2.3921
Ge -1.1260 5.8264 2.3921
Ge 1.5406 1.9381 0.8510
Ge 2.0341 4.2535 2.3921
Ge 4.7007 0.3652 0.8510
Ge 4.4829 3.8883 0.8510
Os 0.0000 0.0000 1.6216

=====

8
Lattice="-2.8018 2.8018 5.4676 2.8018 -2.8018 5.4676 2.8018 2.8018 -5.4676" Properties=species:S:1:pos:R:3 comment="TcGeOs2 GGA-PBE optimized geometry" space_group=I-42d total_energy_ev_per_cell=-66.56 rho_g_cm3=10.661 vol_a3_per_fu=85.8 m_tot_mub_per_fu=0.000 pbc="T T T"
Tc 0.0000 0.0000 0.0000
Tc 0.0000 2.8018 2.7338
Ge 2.8018 0.0000 2.7338
Ge 0.0000 0.0000 5.4676
Os 4.2027 1.3740 -1.3669
Os 1.3740 1.4009 1.3669
Os -1.4009 1.4278 4.1007
Os 1.4278 1.4009 6.8344

=====

E_form list, top to bottom, in meV/atom: -154; -311; -547; -333; -639; -186; -372; -264; -632; -645; 90; 1040